Computed, not measured: an optimized crystal structure of CePm2Tl at the PBE-GGA level of DFT.

Cell: 4.7451 5.0015 5.0015 Å, 90.00 90.00 90.00°
Positions (direct):
Pm (0.0000, 0.0000, 0.5000)
Pm (0.0000, 0.5000, 0.0000)
Ce (0.5000, 0.5000, 0.5000)
Tl (0.5000, 0.0000, 0.0000)

Space-group type = P4/mmm, No. 123
M_tot = 0.21 μB per atom
ΔH_f (0 K) = -0.15 eV per atom
Excess energy over the best structure of this formula in the dataset = 0 meV/atom